1.
Entry from Alexandria via LeMat-Bulk: a relaxed CoMoW crystal (GGA-PBE).

```
CoMoW
1.0
0.0000 2.8763 2.8763
2.8763 0.0000 2.8763
2.8763 2.8763 0.0000
Co Mo W
1 1 1
Direct
0.0000 0.0000 0.0000
0.2500 0.2500 0.2500
0.7500 0.7500 0.7500
```

Excess energy over the best structure of this formula in the dataset in meV per atom: 659.5
E_form in kcal/mol of atoms: 15.3

***

2.
Entry from Alexandria via LeMat-Bulk: a relaxed PrNdCdBi crystal (GGA-PBE).

```
PrNdCdBi
1.0
0.0000 3.9225 3.9225
3.9225 0.0000 3.9225
3.9225 3.9225 0.0000
Pr Nd Cd Bi
1 1 1 1
Direct
0.0000 0.0000 0.0000
0.5000 0.5000 0.5000
0.2500 0.2500 0.2500
0.7500 0.7500 0.7500
```

E_form in kcal/mol of atoms: -11.5

***

Number 1: theoretical density 11.8 g cm⁻³, final energy -9.63 eV per atom. Number 2: theoretical density 8.3 g cm⁻³, final energy -4.09 eV per atom.